No. 1
NaSbC, optimized geometry, DFT PBE; energy above the most stable polymorph in this dataset = 276 meV per atom; mass density = 4.51 g/cm³; total energy = -4.350 eV/atom; ΔE_f (raw) = 0.54 eV per atom
1.0
-3.011 0.939 -1.345
1.040 -3.259 -0.234
-2.562 -1.171 4.917
Na C Sb
1 1 1
Cartesian
-4.046 -1.551 3.604
-1.922 -2.596 2.490
-1.143 -0.523 2.194

No. 2
NaSbC, optimized geometry, DFT PBE; energy above the most stable polymorph in this dataset = 50 meV per atom; mass density = 3.66 g/cm³; total energy = -4.576 eV/atom; ΔE_f (raw) = 0.31 eV per atom
1.0
5.309 0.000 -0.010
0.000 8.917 0.000
-3.897 0.000 6.017
Na C Sb
4 4 4
Cartesian
-2.923 6.688 4.512
-0.974 2.229 1.504
-0.974 6.688 1.504
-2.923 2.229 4.512
2.914 0.000 2.556
0.446 4.459 0.442
0.965 4.459 5.564
-1.502 0.000 3.450
1.845 4.459 2.009
-0.433 4.459 3.997
-0.104 0.000 5.017
1.516 0.000 0.989

No. 3
NaSbC, optimized geometry, DFT PBE; energy above the most stable polymorph in this dataset = 10 meV per atom; mass density = 3.40 g/cm³; total energy = -4.616 eV/atom; ΔE_f (raw) = 0.27 eV per atom
1.0
9.974 0.000 0.003
0.000 4.146 0.000
-0.546 0.000 7.402
C Na Sb
4 4 4
Cartesian
7.416 0.000 2.939
7.143 2.073 6.640
8.591 0.000 2.475
8.318 2.073 6.176
9.093 2.073 3.851
6.628 0.000 5.263
6.900 2.073 1.562
9.365 0.000 0.150
3.969 0.000 0.306
3.696 2.073 4.007
2.269 2.073 1.446
1.997 0.000 5.147

No. 4
NaSbC, optimized geometry, DFT PBE; energy above the most stable polymorph in this dataset = 50 meV per atom; mass density = 3.52 g/cm³; total energy = -4.577 eV/atom; ΔE_f (raw) = 0.31 eV per atom
1.0
4.847 0.000 0.000
0.458 5.057 0.000
1.761 1.174 6.036
Sb C Na
2 2 2
Cartesian
3.390 3.527 5.888
2.012 5.273 1.922
2.178 1.594 3.408
2.574 2.293 4.372
4.477 2.925 2.585
5.946 5.935 5.528